! AgW2O6, optimized geometry, DFT PBE+U; values from VASP
! total energy	-6.79	eV per atom
! density of states at the Fermi level	0.7	states/eV per cell
! crystal system	trigonal
! space group	P-31m (162)
&SYSTEM
  ibrav = 0, nat = 9, ntyp = 3
/
ATOMIC_SPECIES
O 16.00 O.upf
Ag 107.87 Ag.upf
W 183.84 W.upf
ATOMIC_POSITIONS angstrom
O 3.6151 1.7493 -1.0099
O 3.6151 0.0000 2.0198
O 1.5079 1.7492 1.0099
O 1.5079 4.6459 0.6625
O 3.6151 2.8967 1.6724
O 1.5079 2.8966 3.6922
Ag 0.0000 0.0000 0.0000
W 2.5615 3.0973 0.0000
W 2.5615 1.5486 2.6823
CELL_PARAMETERS angstrom
5.1231 0.0000 0.0000
0.0000 4.6459 -2.6823
0.0000 -0.0001 5.3646